1.
# meta-GGA SCAN YCrPt2Br, single point on PBEsol structure
# N(E_F) (states/eV/cell): 3.98
# Volume (A^3/atom): 21.9
# Raw total energy (eV per atom): -41.04
# Total magnetization (μB per formula unit): 0.01
data_YCrPt2Br
_cell_length_a 4.474
_cell_length_b 4.474
_cell_length_c 5.475
_cell_angle_alpha 90.00
_cell_angle_beta 90.00
_cell_angle_gamma 90.00
_space_group_name_H-M_alt 'P 4/m m m'
_space_group_IT_number 123
_space_group_name_Hall '-P 4 2'
loop_
_atom_site_label
_atom_site_type_symbol
_atom_site_fract_x
_atom_site_fract_y
_atom_site_fract_z
Y1 Y 0.000 0.000 0.000
Cr1 Cr 0.000 0.000 0.500
Pt1 Pt 0.000 0.500 0.500
Br1 Br 0.500 0.500 0.000


2.
# meta-GGA SCAN BeAs3Ir, single point on PBEsol structure
# N(E_F) (states/eV/cell): 4.69
# Volume (A^3/atom): 22.0
# Raw total energy (eV per atom): -26.14
# Total magnetization (μB per formula unit): 0.00
data_BeAs3Ir
_cell_length_a 4.794
_cell_length_b 4.794
_cell_length_c 4.794
_cell_angle_alpha 90.00
_cell_angle_beta 90.00
_cell_angle_gamma 90.00
_space_group_name_H-M_alt 'P m -3 m'
_space_group_IT_number 221
_space_group_name_Hall '-P 4 2 3'
loop_
_atom_site_label
_atom_site_type_symbol
_atom_site_fract_x
_atom_site_fract_y
_atom_site_fract_z
Be1 Be 0.000 0.000 0.000
As1 As 0.000 0.500 0.500
Ir1 Ir 0.500 0.500 0.500


3.
# meta-GGA SCAN CoPRu2, single point on PBEsol structure
# N(E_F) (states/eV/cell): 3.39
# Volume (A^3/atom): 11.8
# Raw total energy (eV per atom): -24.35
# Total magnetization (μB per formula unit): 0.13
data_CoPRu2
_cell_length_a 2.752
_cell_length_b 2.752
_cell_length_c 6.259
_cell_angle_alpha 90.00
_cell_angle_beta 90.00
_cell_angle_gamma 90.00
_space_group_name_H-M_alt 'P 4 m m'
_space_group_IT_number 99
_space_group_name_Hall 'P 4 -2'
loop_
_atom_site_label
_atom_site_type_symbol
_atom_site_fract_x
_atom_site_fract_y
_atom_site_fract_z
Co1 Co 0.000 0.000 0.000
P1 P 0.500 0.500 0.173
Ru1 Ru 0.000 0.000 0.422
Ru2 Ru 0.500 0.500 0.706


4.
# meta-GGA SCAN Li2CaZn, single point on PBEsol structure
# N(E_F) (states/eV/cell): 2.38
# Volume (A^3/atom): 22.8
# Raw total energy (eV per atom): -7.02
# Total magnetization (μB per formula unit): 0.19
data_Li2CaZn
_cell_length_a 4.341
_cell_length_b 4.341
_cell_length_c 4.835
_cell_angle_alpha 90.00
_cell_angle_beta 90.00
_cell_angle_gamma 90.00
_space_group_name_H-M_alt 'P 4/m m m'
_space_group_IT_number 123
_space_group_name_Hall '-P 4 2'
loop_
_atom_site_label
_atom_site_type_symbol
_atom_site_fract_x
_atom_site_fract_y
_atom_site_fract_z
Li1 Li 0.000 0.500 0.000
Ca1 Ca 0.000 0.000 0.500
Zn1 Zn 0.500 0.500 0.500


5.
# meta-GGA SCAN BaHf2SnRu, single point on PBEsol structure
# N(E_F) (states/eV/cell): 6.82
# Volume (A^3/atom): 28.1
# Raw total energy (eV per atom): -46.08
# Total magnetization (μB per formula unit): 0.00
data_BaHf2SnRu
_cell_length_a 5.338
_cell_length_b 5.338
_cell_length_c 4.933
_cell_angle_alpha 90.00
_cell_angle_beta 90.00
_cell_angle_gamma 90.00
_space_group_name_H-M_alt 'P 4/m m m'
_space_group_IT_number 123
_space_group_name_Hall '-P 4 2'
loop_
_atom_site_label
_atom_site_type_symbol
_atom_site_fract_x
_atom_site_fract_y
_atom_site_fract_z
Ba1 Ba 0.000 0.000 0.000
Hf1 Hf 0.000 0.500 0.500
Sn1 Sn 0.500 0.500 0.500
Ru1 Ru 0.500 0.500 0.000


6.
# meta-GGA SCAN Li3Fe2SnO6, single point on PBEsol structure
# N(E_F) (states/eV/cell): 6.06
# Volume (A^3/atom): 9.6
# Raw total energy (eV per atom): -11.60
# Total magnetization (μB per formula unit): 9.00
data_Li3Fe2SnO6
_cell_length_a 13.051
_cell_length_b 3.012
_cell_length_c 6.005
_cell_angle_alpha 90.00
_cell_angle_beta 103.49
_cell_angle_gamma 90.00
_space_group_name_H-M_alt 'C 1 2/m 1'
_space_group_IT_number 12
_space_group_name_Hall '-C 2y'
loop_
_atom_site_label
_atom_site_type_symbol
_atom_site_fract_x
_atom_site_fract_y
_atom_site_fract_z
Li1 Li 0.000 0.000 0.000
Li2 Li 0.175 0.500 0.334
Fe1 Fe 0.175 0.500 0.857
Sn1 Sn 0.000 0.000 0.500
O1 O 0.001 0.500 0.740
O2 O 0.162 0.000 0.599
O3 O 0.165 0.000 0.079


7.
# meta-GGA SCAN ScGeSb3, single point on PBEsol structure
# N(E_F) (states/eV/cell): 3.37
# Volume (A^3/atom): 30.6
# Raw total energy (eV per atom): -28.52
# Total magnetization (μB per formula unit): 0.00
data_ScGeSb3
_cell_length_a 5.350
_cell_length_b 5.350
_cell_length_c 5.350
_cell_angle_alpha 90.00
_cell_angle_beta 90.00
_cell_angle_gamma 90.00
_space_group_name_H-M_alt 'P m -3 m'
_space_group_IT_number 221
_space_group_name_Hall '-P 4 2 3'
loop_
_atom_site_label
_atom_site_type_symbol
_atom_site_fract_x
_atom_site_fract_y
_atom_site_fract_z
Sc1 Sc 0.000 0.000 0.000
Ge1 Ge 0.500 0.500 0.500
Sb1 Sb 0.000 0.000 0.500


8.
# meta-GGA SCAN MnSiTe2N, single point on PBEsol structure
# N(E_F) (states/eV/cell): 2.22
# Volume (A^3/atom): 20.1
# Raw total energy (eV per atom): -22.29
# Total magnetization (μB per formula unit): 4.80
data_MnSiTe2N
_cell_length_a 5.558
_cell_length_b 5.558
_cell_length_c 3.245
_cell_angle_alpha 90.00
_cell_angle_beta 90.00
_cell_angle_gamma 90.00
_space_group_name_H-M_alt 'P 4/m m m'
_space_group_IT_number 123
_space_group_name_Hall '-P 4 2'
loop_
_atom_site_label
_atom_site_type_symbol
_atom_site_fract_x
_atom_site_fract_y
_atom_site_fract_z
Mn1 Mn 0.000 0.000 0.000
Si1 Si 0.500 0.500 0.500
Te1 Te 0.000 0.500 0.500
N1 N 0.500 0.500 0.000


9.
# meta-GGA SCAN SiTc2Te, single point on PBEsol structure
# N(E_F) (states/eV/cell): 2.33
# Volume (A^3/atom): 15.5
# Raw total energy (eV per atom): -29.29
# Total magnetization (μB per formula unit): 0.00
data_SiTc2Te
_cell_length_a 3.054
_cell_length_b 4.580
_cell_length_c 4.437
_cell_angle_alpha 90.00
_cell_angle_beta 90.00
_cell_angle_gamma 90.00
_space_group_name_H-M_alt 'P m m 2'
_space_group_IT_number 25
_space_group_name_Hall 'P 2 -2'
loop_
_atom_site_label
_atom_site_type_symbol
_atom_site_fract_x
_atom_site_fract_y
_atom_site_fract_z
Si1 Si 0.000 0.000 0.000
Tc1 Tc 0.000 0.500 0.754
Tc2 Tc 0.500 0.000 0.540
Te1 Te 0.500 0.500 0.246


10.
# meta-GGA SCAN LiLa2Cu2, single point on PBEsol structure
# N(E_F) (states/eV/cell): 8.17
# Volume (A^3/atom): 23.2
# Raw total energy (eV per atom): -23.93
# Total magnetization (μB per formula unit): 0.00
data_LiLa2Cu2
_cell_length_a 7.742
_cell_length_b 7.742
_cell_length_c 3.873
_cell_angle_alpha 90.00
_cell_angle_beta 90.00
_cell_angle_gamma 90.00
_space_group_name_H-M_alt 'P 4/m b m'
_space_group_IT_number 127
_space_group_name_Hall '-P 4 2ab'
loop_
_atom_site_label
_atom_site_type_symbol
_atom_site_fract_x
_atom_site_fract_y
_atom_site_fract_z
Li1 Li 0.000 0.000 0.000
La1 La 0.170 0.330 0.500
Cu1 Cu 0.120 0.620 0.000


11.
# meta-GGA SCAN YTl2Si, single point on PBEsol structure
# N(E_F) (states/eV/cell): 1.61
# Volume (A^3/atom): 24.8
# Raw total energy (eV per atom): -45.83
# Total magnetization (μB per formula unit): 0.00
data_YTl2Si
_cell_length_a 4.164
_cell_length_b 4.018
_cell_length_c 6.272
_cell_angle_alpha 90.00
_cell_angle_beta 109.32
_cell_angle_gamma 90.00
_space_group_name_H-M_alt 'P 1 m 1'
_space_group_IT_number 6
_space_group_name_Hall 'P -2y'
loop_
_atom_site_label
_atom_site_type_symbol
_atom_site_fract_x
_atom_site_fract_y
_atom_site_fract_z
Y1 Y 0.000 0.000 0.000
Tl1 Tl 0.312 0.500 0.626
Tl2 Tl 0.720 0.000 0.441
Si1 Si 0.547 0.500 0.093


12.
# meta-GGA SCAN MoIrRu2, single point on PBEsol structure
# N(E_F) (states/eV/cell): 10.78
# Volume (A^3/atom): 13.9
# Raw total energy (eV per atom): -44.06
# Total magnetization (μB per formula unit): 0.00
data_MoIrRu2
_cell_length_a 5.396
_cell_length_b 5.407
_cell_length_c 7.640
_cell_angle_alpha 90.00
_cell_angle_beta 90.00
_cell_angle_gamma 90.00
_space_group_name_H-M_alt 'F 2 2 2'
_space_group_IT_number 22
_space_group_name_Hall 'F 2 2'
loop_
_atom_site_label
_atom_site_type_symbol
_atom_site_fract_x
_atom_site_fract_y
_atom_site_fract_z
Mo1 Mo 0.000 0.000 0.000
Ir1 Ir 0.250 0.250 0.750
Ru1 Ru 0.000 0.000 0.500
Ru2 Ru 0.250 0.250 0.250